(1)
The following is a DFT calculation (PBE) of a geometry-optimized Tb3Dy8Tl structure.

Output
The value obtained for the total magnetization is 0.00 μB/f.u. As for the crystal system: tetragonal. For the final energy, the calculation gives -46.72 eV/cell.

The structure in POSCAR format:
```
Tb3Dy8Tl
1.0
2.292 5.767 -5.513
-1.992 -7.517 -2.904
-7.240 1.086 3.913
Tb Dy Tl
3 8 1
Direct
0.500 0.750 0.250
0.500 0.250 0.750
0.000 0.500 0.500
0.508 0.274 0.274
0.492 0.766 0.766
0.000 0.726 0.234
0.000 0.234 0.726
0.254 0.384 0.384
0.746 0.130 0.130
0.000 0.616 0.870
0.000 0.870 0.616
0.000 0.000 0.000
```

=====

(2)
The following is a DFT calculation (PBE) of a geometry-optimized Pr2Sm5Dy12 structure.

Output
The value obtained for the total magnetization is 0.00 μB/f.u. As for the crystal system: monoclinic. The relative energy among the computed polymorphs is 48.2 meV/atom.

The structure in POSCAR format:
```
Pr2Sm5Dy12
1.0
-1.382 -6.418 -6.607
11.952 0.822 3.266
-7.049 -2.788 4.183
Pr Sm Dy
2 5 12
Direct
0.679 0.000 0.000
0.321 0.000 0.000
0.297 0.593 0.609
0.230 0.460 0.887
0.000 0.000 0.500
0.770 0.540 0.113
0.703 0.407 0.391
0.083 0.165 0.287
0.027 0.697 0.939
0.670 0.697 0.939
0.182 0.744 0.404
0.562 0.744 0.404
0.558 0.117 0.782
0.442 0.883 0.218
0.818 0.256 0.596
0.438 0.256 0.596
0.973 0.303 0.061
0.330 0.303 0.061
0.917 0.835 0.713
```

=====

(3)
The following is a DFT calculation (PBE) of a geometry-optimized CdBi5Rh3 structure.

Output
The value obtained for the total magnetization is 0.00 μB/f.u. As for the crystal system: monoclinic. For the final energy, the calculation gives -85.25 eV/cell.

The structure in POSCAR format:
```
CdBi5Rh3
1.0
7.457 -0.101 0.465
1.945 7.200 0.465
3.337 2.520 9.292
Cd Bi Rh
2 10 6
Direct
0.080 0.080 0.704
0.920 0.920 0.296
0.961 0.392 0.377
0.295 0.705 0.000
0.766 0.766 0.011
0.433 0.433 0.372
0.567 0.567 0.628
0.234 0.234 0.989
0.392 0.961 0.377
0.705 0.295 0.000
0.039 0.608 0.623
0.608 0.039 0.623
0.673 0.673 0.814
0.681 0.681 0.301
0.000 0.000 0.000
0.000 0.000 0.500
0.327 0.327 0.186
0.319 0.319 0.699
```

=====

(4)
The following is a DFT calculation (PBE) of a geometry-optimized Er3HfAl8 structure.

Output
The value obtained for the total magnetization is 0.00 μB/f.u. As for the crystal system: trigonal. The relative energy among the computed polymorphs is 13.1 meV/atom.

The structure in POSCAR format:
```
Er3HfAl8
1.0
-1.312 -4.855 2.062
4.471 0.542 -3.042
4.815 1.843 7.404
Er Hf Al
3 1 8
Direct
0.667 0.333 0.436
0.667 0.333 0.068
0.000 0.000 0.931
0.000 0.000 0.568
0.333 0.667 0.500
0.333 0.667 0.999
0.504 0.008 0.744
0.504 0.496 0.744
0.992 0.496 0.744
0.162 0.325 0.255
0.162 0.838 0.255
0.675 0.838 0.255
```

=====

(5)
The following is a DFT calculation (PBE) of a geometry-optimized KBa2Pb structure.

Output
The value obtained for the total magnetization is 0.52 μB/f.u. As for the crystal system: tetragonal. For the final energy, the calculation gives -18.09 eV/cell.

The structure in POSCAR format:
```
KBa2Pb
1.0
-9.110 -2.052 -4.776
3.782 -9.227 -3.249
-4.026 -7.376 -0.667
Pb K Ba
2 2 4
Direct
0.000 0.000 0.000
0.750 0.250 0.500
0.500 0.500 0.000
0.250 0.750 0.500
0.684 0.125 0.250
0.066 0.625 0.250
0.375 0.316 0.750
0.875 0.934 0.750
```

=====

(6)
The following is a DFT calculation (PBE) of a geometry-optimized Rb3Ce2Te6Pb structure.

Output
The uncorrected formation energy is -110.5 kJ/mol of atoms. The value obtained for the total magnetization is 1.01 μB/f.u. As for the crystal system: monoclinic.

The structure in POSCAR format:
```
Rb3Ce2Te6Pb
1.0
-3.837 -4.193 5.822
7.451 -2.238 -2.383
2.198 7.201 4.740
Rb Ce Te Pb
3 2 6 1
Direct
0.162 0.838 0.500
0.838 0.162 0.500
0.500 0.500 0.500
0.333 0.667 0.000
0.667 0.333 0.000
0.932 0.585 0.797
0.720 0.720 0.201
0.068 0.415 0.203
0.585 0.932 0.797
0.280 0.280 0.799
0.415 0.068 0.203
0.000 0.000 0.000
```